Crystalline PmCr2GeO6 at its relaxed geometry. Source: Alexandria, functional PBE with a Hubbard U.

Total energy ... -7.53 eV per atom
Symmetry ... P1, No. 1

The structure in extended XYZ format:
```
10
Lattice="5.2403 0.0000 0.0000 -2.5966 4.6292 0.0000 -0.0048 -2.7905 4.9052" Properties=species:S:1:pos:R:3 pbc="T T T"
Pm 0.0000 0.0000 0.0000
Cr 0.0550 0.1825 4.0258
Cr 2.6186 1.5753 1.8007
Ge 0.0035 3.1566 2.0970
O -1.4348 2.8514 0.7599
O -0.9563 1.7430 3.0198
O 0.9429 1.9203 0.7479
O 1.8391 0.0891 2.9915
O 3.1680 -0.0812 0.8691
O 4.2568 -1.6558 2.9900
```